(1)
Material: TbGdCuAu
Method: DFT, PBE
State: relaxed

## Properties
V	365.2	Å³ per cell
calculated total energy	-7.0457	eV/atom
energy relative to the elements	-50.6	kJ per mole of atoms

CIF file:
```
data_TbGdCuAu
_cell_length_a 7.148
_cell_length_b 7.148
_cell_length_c 7.148
_cell_angle_alpha 90.00
_cell_angle_beta 90.00
_cell_angle_gamma 90.00
_symmetry_space_group_name_H-M 'F -4 3 m'
_symmetry_Int_Tables_number 216
_symmetry_space_group_name_Hall 'F -4 2 3'
loop_
_atom_site_label
_atom_site_fract_x
_atom_site_fract_y
_atom_site_fract_z
Tb1 0.000 0.000 0.000
Gd1 0.000 0.000 0.500
Cu1 0.250 0.250 0.250
Au1 0.250 0.250 0.750
```

(2)
Material: La2PrGa
Method: DFT, PBE
State: relaxed

## Properties
energy relative to the lowest polymorph listed for this composition	0.000	eV per atom
V	127.7	Å³ per cell
calculated total energy	-4.6762	eV/atom
energy relative to the elements	-25.2	kJ per mole of atoms

CIF file:
```
data_La2PrGa
_cell_length_a 3.788
_cell_length_b 3.788
_cell_length_c 8.900
_cell_angle_alpha 90.00
_cell_angle_beta 90.00
_cell_angle_gamma 90.00
_symmetry_space_group_name_H-M 'P 4/m m m'
_symmetry_Int_Tables_number 123
_symmetry_space_group_name_Hall '-P 4 2'
loop_
_atom_site_label
_atom_site_fract_x
_atom_site_fract_y
_atom_site_fract_z
La1 0.000 0.000 0.204
Pr1 0.500 0.500 0.500
Ga1 0.500 0.500 0.000
```

(3)
Material: Zr2AlPt
Method: DFT, PBE
State: relaxed

## Properties
V	149.7	Å³ per cell
calculated total energy	-7.4016	eV/atom
energy relative to the elements	-65.8	kJ per mole of atoms

CIF file:
```
data_Zr2AlPt
_cell_length_a 4.214
_cell_length_b 4.214
_cell_length_c 8.432
_cell_angle_alpha 90.00
_cell_angle_beta 90.00
_cell_angle_gamma 90.00
_symmetry_space_group_name_H-M 'I 4/m m m'
_symmetry_Int_Tables_number 139
_symmetry_space_group_name_Hall '-I 4 2'
loop_
_atom_site_label
_atom_site_fract_x
_atom_site_fract_y
_atom_site_fract_z
Zr1 0.000 0.500 0.250
Al1 0.000 0.000 0.000
Pt1 0.000 0.000 0.500
```

(4)
Material: RbZn2CrCl8
Method: DFT, PBE
State: relaxed

## Properties
uncorrected formation energy	-28.623	kcal/mol of atoms
V	1014.6	Å³ per cell
calculated total energy	-3.5672	eV/atom

CIF file:
```
data_RbZn2CrCl8
_cell_length_a 6.1960
_cell_length_b 6.1960
_cell_length_c 30.5168
_cell_angle_alpha 90.00
_cell_angle_beta 90.00
_cell_angle_gamma 120.00
_symmetry_space_group_name_H-M 'R -3'
_symmetry_Int_Tables_number 148
_symmetry_space_group_name_Hall '-R 3'
loop_
_atom_site_label
_atom_site_fract_x
_atom_site_fract_y
_atom_site_fract_z
Rb1 0.0000 0.0000 0.0000
Zn1 0.0000 0.0000 0.2350
Cr1 0.0000 0.0000 0.5000
Cl1 0.0000 0.0000 0.3081
Cl2 0.0162 0.6505 0.2122
```

(5)
Material: Sr2ZnIn3Ag4
Method: DFT, PBE
State: relaxed

## Properties
V	250.4	Å³ per cell
calculated total energy	-2.6670	eV/atom
energy relative to the elements	-23.3	kJ per mole of atoms

CIF file:
```
data_Sr2ZnIn3Ag4
_cell_length_a 4.468
_cell_length_b 4.468
_cell_length_c 12.542
_cell_angle_alpha 90.00
_cell_angle_beta 90.00
_cell_angle_gamma 90.00
_symmetry_space_group_name_H-M 'P -4 m 2'
_symmetry_Int_Tables_number 115
_symmetry_space_group_name_Hall 'P -4 -2'
loop_
_atom_site_label
_atom_site_fract_x
_atom_site_fract_y
_atom_site_fract_z
Sr1 0.000 0.500 0.244
Zn1 0.500 0.500 0.000
In1 0.000 0.000 0.000
In2 0.000 0.500 0.640
Ag1 0.000 0.000 0.500
Ag2 0.000 0.500 0.863
Ag3 0.500 0.500 0.500
```

(6)
Material: YTa3Cu
Method: DFT, PBE
State: relaxed

## Properties
energy relative to the lowest polymorph listed for this composition	1.578	eV per atom
V	118.6	Å³ per cell
calculated total energy	-6.6314	eV/atom
energy relative to the elements	250.1	kJ per mole of atoms

CIF file:
```
data_YTa3Cu
_cell_length_a 4.913
_cell_length_b 4.913
_cell_length_c 4.913
_cell_angle_alpha 90.00
_cell_angle_beta 90.00
_cell_angle_gamma 90.00
_symmetry_space_group_name_H-M 'P m -3 m'
_symmetry_Int_Tables_number 221
_symmetry_space_group_name_Hall '-P 4 2 3'
loop_
_atom_site_label
_atom_site_fract_x
_atom_site_fract_y
_atom_site_fract_z
Y1 0.000 0.000 0.000
Ta1 0.000 0.000 0.500
Cu1 0.500 0.500 0.500
```

(7)
Material: PuFePd
Method: DFT, PBE
State: relaxed

## Properties
V	213.1	Å³ per cell
calculated total energy	-9.4448	eV/atom
energy relative to the elements	-11.2	kJ per mole of atoms

CIF file:
```
data_PuFePd
_cell_length_a 3.496
_cell_length_b 16.787
_cell_length_c 3.631
_cell_angle_alpha 90.00
_cell_angle_beta 90.00
_cell_angle_gamma 90.00
_symmetry_space_group_name_H-M 'C m c m'
_symmetry_Int_Tables_number 63
_symmetry_space_group_name_Hall '-C 2c 2'
loop_
_atom_site_label
_atom_site_fract_x
_atom_site_fract_y
_atom_site_fract_z
Pu1 0.000 0.107 0.250
Fe1 0.000 0.454 0.250
Pd1 0.000 0.292 0.250
```

(8)
Material: LiThTlBi
Method: DFT, PBE
State: relaxed

## Properties
V	443.8	Å³ per cell
calculated total energy	-4.0873	eV/atom
energy relative to the elements	-18.5	kJ per mole of atoms

CIF file:
```
data_LiThTlBi
_cell_length_a 7.628
_cell_length_b 7.628
_cell_length_c 7.628
_cell_angle_alpha 90.00
_cell_angle_beta 90.00
_cell_angle_gamma 90.00
_symmetry_space_group_name_H-M 'F -4 3 m'
_symmetry_Int_Tables_number 216
_symmetry_space_group_name_Hall 'F -4 2 3'
loop_
_atom_site_label
_atom_site_fract_x
_atom_site_fract_y
_atom_site_fract_z
Li1 0.000 0.000 0.000
Th1 0.000 0.000 0.500
Tl1 0.250 0.250 0.750
Bi1 0.250 0.250 0.250
```

(9)
Material: YbAgSb
Method: DFT, PBE
State: relaxed

## Properties
uncorrected formation energy	-15.766	kcal/mol of atoms
V	298.0	Å³ per cell
calculated total energy	-3.5169	eV/atom

CIF file:
```
data_YbAgSb
_cell_length_a 7.619
_cell_length_b 4.574
_cell_length_c 8.552
_cell_angle_alpha 90.00
_cell_angle_beta 90.00
_cell_angle_gamma 90.00
_symmetry_space_group_name_H-M 'P n m a'
_symmetry_Int_Tables_number 62
_symmetry_space_group_name_Hall '-P 2ac 2n'
loop_
_atom_site_label
_atom_site_fract_x
_atom_site_fract_y
_atom_site_fract_z
Yb1 0.025 0.250 0.195
Ag1 0.141 0.250 0.564
Sb1 0.247 0.750 0.385
```

(10)
Material: K2BaCa
Method: DFT, PBE
State: relaxed

## Properties
energy relative to the lowest polymorph listed for this composition	0.064	eV per atom
V	479.7	Å³ per cell
calculated total energy	-1.3803	eV/atom
energy relative to the elements	14.4	kJ per mole of atoms

CIF file:
```
data_K2BaCa
_cell_length_a 4.558
_cell_length_b 7.088
_cell_length_c 14.847
_cell_angle_alpha 90.00
_cell_angle_beta 90.00
_cell_angle_gamma 90.00
_symmetry_space_group_name_H-M 'C m m m'
_symmetry_Int_Tables_number 65
_symmetry_space_group_name_Hall '-C 2 2'
loop_
_atom_site_label
_atom_site_fract_x
_atom_site_fract_y
_atom_site_fract_z
K1 0.000 0.000 0.239
Ba1 0.000 0.500 0.500
Ca1 0.000 0.500 0.000
```

(11)
Material: Tb12Pm2Tm5
Method: DFT, PBE
State: relaxed

## Properties
energy relative to the lowest polymorph listed for this composition	0.000	eV per atom
V	606.9	Å³ per cell
calculated total energy	-4.5368	eV/atom
energy relative to the elements	6.2	kJ per mole of atoms

CIF file:
```
data_Tb12Pm2Tm5
_cell_length_a 6.251
_cell_length_b 8.817
_cell_length_c 12.077
_cell_angle_alpha 68.87
_cell_angle_beta 80.52
_cell_angle_gamma 79.51
_symmetry_space_group_name_H-M 'P -1'
_symmetry_Int_Tables_number 2
_symmetry_space_group_name_Hall '-P 1'
loop_
_atom_site_label
_atom_site_fract_x
_atom_site_fract_y
_atom_site_fract_z
Tb1 0.044 0.075 0.326
Tb2 0.192 0.259 0.664
Tb3 0.225 0.400 0.362
Tb4 0.270 0.536 0.784
Tb5 0.332 0.796 0.174
Tb6 0.408 0.876 0.840
Pm1 0.237 0.495 0.066
Tm1 0.135 0.161 0.989
Tm2 0.291 0.675 0.487
Tm3 0.500 0.000 0.500
```

(12)
Material: Tb12Er3Th
Method: DFT, PBE
State: relaxed

## Properties
V	507.2	Å³ per cell
calculated total energy	-4.7679	eV/atom
energy relative to the elements	2.3	kJ per mole of atoms

CIF file:
```
data_Tb12Er3Th
_cell_length_a 5.028
_cell_length_b 5.028
_cell_length_c 20.064
_cell_angle_alpha 90.00
_cell_angle_beta 90.00
_cell_angle_gamma 90.00
_symmetry_space_group_name_H-M 'P 4/m m m'
_symmetry_Int_Tables_number 123
_symmetry_space_group_name_Hall '-P 4 2'
loop_
_atom_site_label
_atom_site_fract_x
_atom_site_fract_y
_atom_site_fract_z
Tb1 0.000 0.000 0.000
Tb2 0.000 0.000 0.248
Tb3 0.000 0.000 0.500
Tb4 0.000 0.500 0.125
Tb5 0.000 0.500 0.376
Er1 0.500 0.500 0.000
Er2 0.500 0.500 0.250
Th1 0.500 0.500 0.500
```